No. 1
DySO4F | GGA-PBE | optimized geometry

## Properties
The symmetry is No. 12. As for the size of the total moment: 0.00 μB/cell.

a b c (Å): 5.682 5.682 6.441
angles (deg): 102.32 102.32 75.73
Atoms (fractional coordinates):
1 Dy 0.208 0.208 0.125
2 Dy 0.792 0.792 0.875
3 S 0.352 0.352 0.725
4 S 0.648 0.648 0.275
5 O 0.140 0.477 0.845
6 O 0.260 0.260 0.501
7 O 0.477 0.140 0.845
8 O 0.482 0.482 0.255
9 O 0.518 0.518 0.745
10 O 0.523 0.860 0.155
11 O 0.740 0.740 0.499
12 O 0.860 0.523 0.155
13 F 0.021 0.021 0.819
14 F 0.979 0.979 0.181

---

No. 2
DyS2O6F2 | GGA-PBE | optimized geometry

## Properties
The symmetry is No. 164. As for the size of the total moment: 0.98 μB/cell.

a b c (Å): 5.730 5.730 6.071
angles (deg): 90.00 90.00 120.00
Atoms (fractional coordinates):
1 Dy 0.000 0.000 0.000
2 S 0.333 0.667 0.726
3 S 0.667 0.333 0.274
4 O 0.191 0.382 0.799
5 O 0.191 0.809 0.799
6 O 0.382 0.191 0.201
7 O 0.618 0.809 0.799
8 O 0.809 0.191 0.201
9 O 0.809 0.618 0.201
10 F 0.333 0.667 0.429
11 F 0.667 0.333 0.571

---

For reference, formation energy from raw total energies by record: -2.5293; -1.7898 eV/atom.
For reference, VASP energy by record: -6.877; -6.003 eV per atom.